The following is a PBE-GGA calculation of a relaxed GeRhCl crystal, from the Alexandria database.

abc: 3.5032 5.5078 5.8960
angles: 90.00 90.00 90.00
With the nearest neighbours (Å) after each atom.
Space group Pmn2_1 (No. 31)
Unique sites:
Ge  0.0000  0.0186  0.0000  3 Rh 2.38-2.39
Rh  0.0000  0.2308  0.6481  3 Ge 2.38-2.39, 1 Cl 2.50
Cl  0.0000  0.4229  0.2647  3 Rh 2.50-2.68, 1 Ge 2.72

* total magnetization: 0.000 μB/atom
* raw total energy: -5.087 eV per atom